{
  "formula": "TaFe4Sb",
  "functional": "PBE",
  "state": "optimized geometry",
  "e_form_raw_ev_per_atom": -0.005,
  "total_energy_ev_per_atom": -8.3088,
  "lattice": [[0.000, 3.458, 3.458], [3.458, 0.000, 3.458], [3.458, 3.458, 0.000]],
  "species": ["Ta", "Fe", "Fe", "Fe", "Fe", "Sb"],
  "fractional_positions": [[0.000, 0.000, 0.000], [0.878, 0.374, 0.374], [0.374, 0.374, 0.878], [0.374, 0.878, 0.374], [0.374, 0.374, 0.374], [0.750, 0.750, 0.750]]
}